This record from Alexandria via LeMat-Bulk describes a relaxed structure of TlIn2Te. The functional is GGA-PBE.

CIF file:
```
data_TlIn2Te
_chemical_formula_sum 'Tl2 In4 Te2'
_space_group_name_H-M_alt 'C 1 m 1'
_space_group_IT_number 8
_cell_length_a 12.260
_cell_length_b 4.422
_cell_length_c 5.030
_cell_angle_alpha 90.00
_cell_angle_beta 114.15
_cell_angle_gamma 90.00
loop_
_space_group_symop_operation_xyz
'x,y,z'
'x,-y,z'
'x+1/2,y+1/2,z'
'x+1/2,-y+1/2,z'
loop_
_atom_site_label
_atom_site_type_symbol
_atom_site_fract_x
_atom_site_fract_y
_atom_site_fract_z
Tl1 Tl 0.000 0.000 0.000
In1 In 0.044 0.500 0.548
In2 In 0.270 0.500 0.186
Te1 Te 0.262 0.000 0.612
```

Computed properties:
* crystal system: monoclinic
* calculated volume: 249 Å³ per cell
* uncorrected formation energy: -0.12 eV per atom
* theoretical density: 7.495 Mg/m³
* energy above the lowest structure with this stoichiometry: 0.007 eV/atom